Record 1
# La2AlW | the Alexandria database | PBE-GGA | optimized geometry
data_La2AlW
_cell_length_a 3.182
_cell_length_b 4.182
_cell_length_c 7.645
_cell_angle_alpha 90.00
_cell_angle_beta 90.00
_cell_angle_gamma 90.00
_space_group_name_H-M_alt 'P 1'
_space_group_IT_number 1
loop_
_space_group_symop_operation_xyz
'x,y,z'
loop_
_atom_site_label
_atom_site_type_symbol
_atom_site_fract_x
_atom_site_fract_y
_atom_site_fract_z
Al1 Al 0.500 0.500 0.750
W1 W 0.500 0.500 0.250
La1 La 0.000 0.000 0.009
La2 La 0.000 0.000 0.491
# Total DFT energy (no corrections): -25.01 eV per cell

Record 2
# MgVTc2 | the Alexandria database | PBE-GGA | optimized geometry
data_MgVTc2
_cell_length_a 3.059
_cell_length_b 3.059
_cell_length_c 6.476
_cell_angle_alpha 90.00
_cell_angle_beta 90.00
_cell_angle_gamma 90.00
_space_group_name_H-M_alt 'P 1'
_space_group_IT_number 1
loop_
_space_group_symop_operation_xyz
'x,y,z'
loop_
_atom_site_label
_atom_site_type_symbol
_atom_site_fract_x
_atom_site_fract_y
_atom_site_fract_z
Mg1 Mg 0.500 0.500 0.500
Tc1 Tc 0.000 0.000 0.784
Tc2 Tc 0.000 0.000 0.216
V1 V 0.500 0.500 0.000
# Total DFT energy (no corrections): -31.29 eV per cell

Record 3
# RbCd9Pb2 | the Alexandria database | PBE-GGA | optimized geometry
data_RbCd9Pb2
_cell_length_a 6.196
_cell_length_b 6.196
_cell_length_c 10.239
_cell_angle_alpha 72.39
_cell_angle_beta 72.39
_cell_angle_gamma 60.00
_space_group_name_H-M_alt 'P 1'
_space_group_IT_number 1
loop_
_space_group_symop_operation_xyz
'x,y,z'
loop_
_atom_site_label
_atom_site_type_symbol
_atom_site_fract_x
_atom_site_fract_y
_atom_site_fract_z
Rb1 Rb 0.000 0.000 0.000
Cd1 Cd 0.666 0.666 0.001
Cd2 Cd 0.334 0.334 0.999
Cd3 Cd 0.500 0.500 0.500
Cd4 Cd 0.412 0.412 0.256
Cd5 Cd 0.920 0.412 0.256
Cd6 Cd 0.412 0.920 0.256
Cd7 Cd 0.588 0.588 0.744
Cd8 Cd 0.588 0.080 0.744
Cd9 Cd 0.080 0.588 0.744
Pb1 Pb 0.858 0.858 0.427
Pb2 Pb 0.142 0.142 0.573
# Total DFT energy (no corrections): -16.90 eV per cell

Record 4
# Tl5Bi2Pd12 | the Alexandria database | PBE-GGA | optimized geometry
data_Tl5Bi2Pd12
_cell_length_a 8.628
_cell_length_b 8.076
_cell_length_c 6.197
_cell_angle_alpha 96.09
_cell_angle_beta 90.00
_cell_angle_gamma 122.29
_space_group_name_H-M_alt 'P 1'
_space_group_IT_number 1
loop_
_space_group_symop_operation_xyz
'x,y,z'
loop_
_atom_site_label
_atom_site_type_symbol
_atom_site_fract_x
_atom_site_fract_y
_atom_site_fract_z
Tl1 Tl 0.248 0.495 0.527
Tl2 Tl 0.334 0.668 0.079
Tl3 Tl 0.000 0.000 0.500
Tl4 Tl 0.666 0.332 0.921
Tl5 Tl 0.752 0.505 0.473
Bi1 Bi 0.780 0.000 0.000
Bi2 Bi 0.220 0.000 0.000
Pd1 Pd 0.139 0.278 0.881
Pd2 Pd 0.039 0.601 0.796
Pd3 Pd 0.562 0.601 0.796
Pd4 Pd 0.175 0.797 0.410
Pd5 Pd 0.622 0.797 0.410
Pd6 Pd 0.461 0.923 0.732
Pd7 Pd 0.539 0.077 0.268
Pd8 Pd 0.825 0.203 0.590
Pd9 Pd 0.378 0.203 0.590
Pd10 Pd 0.961 0.399 0.204
Pd11 Pd 0.438 0.399 0.204
Pd12 Pd 0.861 0.722 0.119
# Total DFT energy (no corrections): -85.22 eV per cell

Record 5
# Np2PaTl3Se6 | the Alexandria database | PBE-GGA | optimized geometry
data_Np2PaTl3Se6
_cell_length_a 7.265
_cell_length_b 7.265
_cell_length_c 8.212
_cell_angle_alpha 98.47
_cell_angle_beta 98.47
_cell_angle_gamma 119.99
_space_group_name_H-M_alt 'P 1'
_space_group_IT_number 1
loop_
_space_group_symop_operation_xyz
'x,y,z'
loop_
_atom_site_label
_atom_site_type_symbol
_atom_site_fract_x
_atom_site_fract_y
_atom_site_fract_z
Np1 Np 0.334 0.666 0.000
Np2 Np 0.666 0.334 0.000
Pa1 Pa 0.000 0.000 0.000
Tl1 Tl 0.169 0.831 0.500
Tl2 Tl 0.831 0.169 0.500
Tl3 Tl 0.500 0.500 0.500
Se1 Se 0.932 0.604 0.796
Se2 Se 0.741 0.741 0.206
Se3 Se 0.068 0.396 0.204
Se4 Se 0.604 0.932 0.796
Se5 Se 0.259 0.259 0.794
Se6 Se 0.396 0.068 0.204
# Total DFT energy (no corrections): -74.65 eV per cell

Record 6
# Tm2NiAu | the Alexandria database | PBE-GGA | optimized geometry
data_Tm2NiAu
_cell_length_a 3.932
_cell_length_b 3.932
_cell_length_c 7.175
_cell_angle_alpha 74.10
_cell_angle_beta 74.10
_cell_angle_gamma 60.00
_space_group_name_H-M_alt 'P 1'
_space_group_IT_number 1
loop_
_space_group_symop_operation_xyz
'x,y,z'
loop_
_atom_site_label
_atom_site_type_symbol
_atom_site_fract_x
_atom_site_fract_y
_atom_site_fract_z
Ni1 Ni 0.000 0.000 0.000
Tm1 Tm 0.741 0.741 0.777
Tm2 Tm 0.259 0.259 0.223
Au1 Au 0.500 0.500 0.500
# Total DFT energy (no corrections): -20.16 eV per cell

Record 7
# MnSnAsPtI | the Alexandria database | PBE-GGA | optimized geometry
data_MnSnAsPtI
_cell_length_a 3.885
_cell_length_b 3.885
_cell_length_c 9.263
_cell_angle_alpha 90.09
_cell_angle_beta 89.95
_cell_angle_gamma 119.98
_space_group_name_H-M_alt 'P 1'
_space_group_IT_number 1
loop_
_space_group_symop_operation_xyz
'x,y,z'
loop_
_atom_site_label
_atom_site_type_symbol
_atom_site_fract_x
_atom_site_fract_y
_atom_site_fract_z
Mn1 Mn 0.961 0.683 0.373
Sn1 Sn 0.295 0.351 0.845
As1 As 0.295 0.350 0.516
Pt1 Pt 0.961 0.684 0.666
I1 I 0.629 0.016 0.183
# Energy above the lowest structure with this stoichiometry: 0.0544 eV per atom
# Total DFT energy (no corrections): -26.35 eV per cell

Record 8
# Sc3TeMo | the Alexandria database | PBE-GGA | optimized geometry
data_Sc3TeMo
_cell_length_a 5.057
_cell_length_b 5.057
_cell_length_c 5.057
_cell_angle_alpha 90.00
_cell_angle_beta 90.00
_cell_angle_gamma 90.00
_space_group_name_H-M_alt 'P 1'
_space_group_IT_number 1
loop_
_space_group_symop_operation_xyz
'x,y,z'
loop_
_atom_site_label
_atom_site_type_symbol
_atom_site_fract_x
_atom_site_fract_y
_atom_site_fract_z
Sc1 Sc 0.000 0.500 0.000
Sc2 Sc 0.000 0.000 0.500
Sc3 Sc 0.500 0.000 0.000
Mo1 Mo 0.000 0.000 0.000
Te1 Te 0.500 0.500 0.500
# Energy above the lowest structure with this stoichiometry: 0.0000 eV per atom
# Total DFT energy (no corrections): -31.90 eV per cell

Record 9
# MgFeOs | the Alexandria database | PBE-GGA | optimized geometry
data_MgFeOs
_cell_length_a 5.822
_cell_length_b 5.822
_cell_length_c 5.822
_cell_angle_alpha 152.06
_cell_angle_beta 152.06
_cell_angle_gamma 39.92
_space_group_name_H-M_alt 'P 1'
_space_group_IT_number 1
loop_
_space_group_symop_operation_xyz
'x,y,z'
loop_
_atom_site_label
_atom_site_type_symbol
_atom_site_fract_x
_atom_site_fract_y
_atom_site_fract_z
Fe1 Fe 0.016 0.016 0.000
Mg1 Mg 0.336 0.336 0.000
Os1 Os 0.648 0.648 0.000
# Energy above the lowest structure with this stoichiometry: 0.0255 eV per atom
# Total DFT energy (no corrections): -20.81 eV per cell

Record 10
# Tb4Ho3Sc | the Alexandria database | PBE-GGA | optimized geometry
data_Tb4Ho3Sc
_cell_length_a 8.740
_cell_length_b 8.740
_cell_length_c 8.876
_cell_angle_alpha 119.50
_cell_angle_beta 119.50
_cell_angle_gamma 90.00
_space_group_name_H-M_alt 'P 1'
_space_group_IT_number 1
loop_
_space_group_symop_operation_xyz
'x,y,z'
loop_
_atom_site_label
_atom_site_type_symbol
_atom_site_fract_x
_atom_site_fract_y
_atom_site_fract_z
Sc1 Sc 0.000 0.000 0.000
Sc2 Sc 0.500 0.500 0.000
Tb1 Tb 0.488 0.988 0.675
Tb2 Tb 0.187 0.687 0.675
Tb3 Tb 0.687 0.488 0.675
Tb4 Tb 0.988 0.187 0.675
Tb5 Tb 0.512 0.012 0.325
Tb6 Tb 0.813 0.313 0.325
Tb7 Tb 0.313 0.512 0.325
Tb8 Tb 0.012 0.813 0.325
Ho1 Ho 0.750 0.750 0.500
Ho2 Ho 0.250 0.250 0.500
Ho3 Ho 0.852 0.352 0.000
Ho4 Ho 0.148 0.648 0.000
Ho5 Ho 0.648 0.852 0.000
Ho6 Ho 0.352 0.148 0.000
# Energy above the lowest structure with this stoichiometry: 0.0766 eV per atom
# Total DFT energy (no corrections): -75.66 eV per cell

Record 11
# VCrB4 | the Alexandria database | PBE-GGA | optimized geometry
data_VCrB4
_cell_length_a 3.973
_cell_length_b 3.973
_cell_length_c 3.973
_cell_angle_alpha 60.00
_cell_angle_beta 60.00
_cell_angle_gamma 60.00
_space_group_name_H-M_alt 'P 1'
_space_group_IT_number 1
loop_
_space_group_symop_operation_xyz
'x,y,z'
loop_
_atom_site_label
_atom_site_type_symbol
_atom_site_fract_x
_atom_site_fract_y
_atom_site_fract_z
Cr1 Cr 0.250 0.250 0.250
B1 B 0.626 0.626 0.122
B2 B 0.626 0.122 0.626
B3 B 0.626 0.626 0.626
B4 B 0.122 0.626 0.626
V1 V 0.000 0.000 0.000
# Total DFT energy (no corrections): -45.74 eV per cell

Record 12
# CoCu3 | the Alexandria database | PBE-GGA | optimized geometry
data_CoCu3
_cell_length_a 4.050
_cell_length_b 4.050
_cell_length_c 4.050
_cell_angle_alpha 60.00
_cell_angle_beta 60.00
_cell_angle_gamma 60.00
_space_group_name_H-M_alt 'P 1'
_space_group_IT_number 1
loop_
_space_group_symop_operation_xyz
'x,y,z'
loop_
_atom_site_label
_atom_site_type_symbol
_atom_site_fract_x
_atom_site_fract_y
_atom_site_fract_z
Co1 Co 0.000 0.000 0.000
Cu1 Cu 0.250 0.250 0.250
Cu2 Cu 0.500 0.500 0.500
Cu3 Cu 0.750 0.750 0.750
# Total DFT energy (no corrections): -18.59 eV per cell

Record 13
# ReSO | the Alexandria database | PBE-GGA | optimized geometry
data_ReSO
_cell_length_a 5.814
_cell_length_b 5.886
_cell_length_c 7.146
_cell_angle_alpha 114.99
_cell_angle_beta 90.00
_cell_angle_gamma 90.00
_space_group_name_H-M_alt 'P 1'
_space_group_IT_number 1
loop_
_space_group_symop_operation_xyz
'x,y,z'
loop_
_atom_site_label
_atom_site_type_symbol
_atom_site_fract_x
_atom_site_fract_y
_atom_site_fract_z
S1 S 0.163 0.455 0.198
S2 S 0.663 0.045 0.802
S3 S 0.837 0.545 0.802
S4 S 0.337 0.955 0.198
Re1 Re 0.289 0.077 0.922
Re2 Re 0.789 0.423 0.078
Re3 Re 0.711 0.923 0.078
Re4 Re 0.211 0.577 0.922
O1 O 0.127 0.940 0.696
O2 O 0.627 0.560 0.304
O3 O 0.873 0.060 0.304
O4 O 0.373 0.440 0.696
# Total DFT energy (no corrections): -91.68 eV per cell

Record 14
# BRh2Cl | the Alexandria database | PBE-GGA | optimized geometry
data_BRh2Cl
_cell_length_a 4.151
_cell_length_b 4.151
_cell_length_c 4.151
_cell_angle_alpha 60.00
_cell_angle_beta 60.00
_cell_angle_gamma 60.00
_space_group_name_H-M_alt 'P 1'
_space_group_IT_number 1
loop_
_space_group_symop_operation_xyz
'x,y,z'
loop_
_atom_site_label
_atom_site_type_symbol
_atom_site_fract_x
_atom_site_fract_y
_atom_site_fract_z
B1 B 0.000 0.000 0.000
Rh1 Rh 0.250 0.250 0.250
Rh2 Rh 0.750 0.750 0.750
Cl1 Cl 0.500 0.500 0.500
# Energy above the lowest structure with this stoichiometry: 0.6211 eV per atom
# Total DFT energy (no corrections): -20.11 eV per cell

Record 15
# NdSm | the Alexandria database | PBE-GGA | optimized geometry
data_NdSm
_cell_length_a 3.654
_cell_length_b 3.654
_cell_length_c 12.130
_cell_angle_alpha 81.34
_cell_angle_beta 81.34
_cell_angle_gamma 60.00
_space_group_name_H-M_alt 'P 1'
_space_group_IT_number 1
loop_
_space_group_symop_operation_xyz
'x,y,z'
loop_
_atom_site_label
_atom_site_type_symbol
_atom_site_fract_x
_atom_site_fract_y
_atom_site_fract_z
Nd1 Nd 0.124 0.124 0.627
Nd2 Nd 0.876 0.876 0.373
Sm1 Sm 0.626 0.626 0.123
Sm2 Sm 0.374 0.374 0.877
# Energy above the lowest structure with this stoichiometry: 0.0000 eV per atom
# Total DFT energy (no corrections): -18.92 eV per cell

Record 16
# Sr2CoAs | the Alexandria database | PBE-GGA | optimized geometry
data_Sr2CoAs
_cell_length_a 8.210
_cell_length_b 8.210
_cell_length_c 6.815
_cell_angle_alpha 52.96
_cell_angle_beta 52.96
_cell_angle_gamma 90.00
_space_group_name_H-M_alt 'P 1'
_space_group_IT_number 1
loop_
_space_group_symop_operation_xyz
'x,y,z'
loop_
_atom_site_label
_atom_site_type_symbol
_atom_site_fract_x
_atom_site_fract_y
_atom_site_fract_z
Sr1 Sr 0.627 0.125 0.250
Sr2 Sr 0.123 0.625 0.250
Sr3 Sr 0.375 0.373 0.750
Sr4 Sr 0.875 0.877 0.750
As1 As 0.000 0.000 0.000
As2 As 0.750 0.250 0.500
Co1 Co 0.500 0.500 0.000
Co2 Co 0.250 0.750 0.500
# Total DFT energy (no corrections): -29.17 eV per cell

Record 17
# AsPt2Br | the Alexandria database | PBE-GGA | optimized geometry
data_AsPt2Br
_cell_length_a 6.239
_cell_length_b 6.239
_cell_length_c 6.239
_cell_angle_alpha 152.40
_cell_angle_beta 138.27
_cell_angle_gamma 50.76
_space_group_name_H-M_alt 'P 1'
_space_group_IT_number 1
loop_
_space_group_symop_operation_xyz
'x,y,z'
loop_
_atom_site_label
_atom_site_type_symbol
_atom_site_fract_x
_atom_site_fract_y
_atom_site_fract_z
As1 As 0.538 0.538 0.000
Br1 Br 0.254 0.754 0.500
Pt1 Pt 0.969 0.969 0.000
Pt2 Pt 0.738 0.238 0.500
# Energy above the lowest structure with this stoichiometry: 0.4780 eV per atom
# Total DFT energy (no corrections): -17.15 eV per cell

Record 18
# PuUMnRh | the Alexandria database | PBE-GGA | optimized geometry
data_PuUMnRh
_cell_length_a 4.576
_cell_length_b 4.576
_cell_length_c 4.576
_cell_angle_alpha 60.00
_cell_angle_beta 60.00
_cell_angle_gamma 60.00
_space_group_name_H-M_alt 'P 1'
_space_group_IT_number 1
loop_
_space_group_symop_operation_xyz
'x,y,z'
loop_
_atom_site_label
_atom_site_type_symbol
_atom_site_fract_x
_atom_site_fract_y
_atom_site_fract_z
Rh1 Rh 0.000 0.000 0.000
Mn1 Mn 0.750 0.750 0.750
U1 U 0.500 0.500 0.500
Pu1 Pu 0.250 0.250 0.250
# Total DFT energy (no corrections): -43.21 eV per cell